P:
Compound: LiTcSbHI
Source: Alexandria via LeMat-Bulk
Functional: PBE
Structure: relaxed

The structure in POSCAR format:
```
LiTcSbHI
1.0
4.2689 0.0000 0.0000
-1.7876 3.8972 0.0000
-1.5091 -1.7071 6.9968
Li Tc Sb H I
1 1 1 1 1
Direct
0.0000 0.0000 0.0000 Li
0.6557 0.8966 0.5771 Tc
0.0269 0.5678 0.6237 Sb
0.7003 0.0628 0.8040 H
0.4414 0.7220 0.1729 I
```

Results
Its density of states at the Fermi level is 1.009 states/eV/cell. The value obtained for the density is 5.06 Mg/m³.

---

Q:
Compound: LiTcSbHI
Source: Alexandria via LeMat-Bulk
Functional: PBE
Structure: relaxed

The structure in POSCAR format:
```
LiTcSbHI
1.0
4.6169 -1.7052 0.0000
4.6169 1.7052 0.0000
-1.0977 0.0000 6.3612
Li Tc Sb H I
1 1 1 1 1
Direct
0.0000 0.0000 0.0000 Li
0.3675 0.3675 0.6401 Tc
0.6538 0.6538 0.6735 Sb
0.9317 0.9317 0.5970 H
0.3206 0.3206 0.2075 I
```

Results
Its density of states at the Fermi level is 2.298 states/eV/cell. The value obtained for the density is 5.88 Mg/m³.

---

R:
Compound: LiTcSbHI
Source: Alexandria via LeMat-Bulk
Functional: PBE
Structure: relaxed

The structure in POSCAR format:
```
LiTcSbHI
1.0
2.6180 -2.6178 0.0000
2.6180 2.6178 0.0000
-2.5814 0.0000 7.2991
Li Tc Sb H I
1 1 1 1 1
Direct
0.0000 0.0000 0.0000 Li
0.6438 0.6438 0.2958 Tc
0.1900 0.1900 0.3896 Sb
0.7550 0.7550 0.5229 H
0.4415 0.4415 0.8826 I
```

Results
Its density of states at the Fermi level is 2.486 states/eV/cell. The value obtained for the density is 5.89 Mg/m³.

---

Which of them is most stable, and which least? Most stable: P; least stable: Q.

---

P:
Compound: LiTcSbHI
Source: Alexandria via LeMat-Bulk
Functional: PBE
Structure: relaxed

The structure in POSCAR format:
```
LiTcSbHI
1.0
3.3457 0.0000 0.0000
-0.0001 4.2001 0.0000
-1.6515 -2.0933 7.0945
Li Tc Sb H I
1 1 1 1 1
Direct
0.0000 0.0000 0.0000 Li
0.6676 0.1732 0.3408 Tc
0.1659 0.6715 0.3372 Sb
0.5508 0.0583 0.1034 H
0.8695 0.3766 0.7514 I
```

Results
Its density of states at the Fermi level is 2.136 states/eV/cell. The value obtained for the density is 5.91 Mg/m³.

---

Q:
Compound: LiTcSbHI
Source: Alexandria via LeMat-Bulk
Functional: PBE
Structure: relaxed

The structure in POSCAR format:
```
LiTcSbHI
1.0
7.5894 -1.7413 0.0000
7.5894 1.7413 0.0000
-0.8476 0.0000 3.5037
Li Tc Sb H I
1 1 1 1 1
Direct
0.0000 0.0000 0.0000 Li
0.2054 0.2054 0.2014 Tc
0.6110 0.6110 0.6082 Sb
0.7459 0.7459 0.2412 H
0.3504 0.3504 0.8452 I
```

Results
Its density of states at the Fermi level is 2.162 states/eV/cell. The value obtained for the density is 6.36 Mg/m³.

---

Which of them is most stable, and which least? Most stable: P; least stable: Q.

---

P:
Compound: LiTe2HI
Source: Alexandria via LeMat-Bulk
Functional: PBE
Structure: relaxed

The structure in POSCAR format:
```
LiTe2HI
1.0
3.9696 0.0000 0.0000
1.9010 4.3247 0.0000
1.8829 0.0358 9.0615
Li Te H I
1 2 1 1
Direct
0.0000 0.0000 0.0000 Li
0.7178 0.0806 0.5329 Te
0.7235 0.3552 0.2665 Te
0.8532 0.7207 0.4640 H
0.7311 0.6282 0.8922 I
```

Results
Its density of states at the Fermi level is 1.004 states/eV/cell. The value obtained for the density is 4.16 Mg/m³.

---

Q:
Compound: LiTe2HI
Source: Alexandria via LeMat-Bulk
Functional: PBE
Structure: relaxed

The structure in POSCAR format:
```
LiTe2HI
1.0
4.5745 0.0000 0.0000
2.0778 6.3921 0.0000
0.1048 3.0484 6.0124
Li Te H I
1 2 1 1
Direct
0.0000 0.0000 0.0000 Li
0.5498 0.9203 0.7757 Te
0.9382 0.4582 0.0233 Te
0.2444 0.5212 0.9007 H
0.5274 0.9267 0.2834 I
```

Results
Its density of states at the Fermi level is 1.762 states/eV/cell. The value obtained for the density is 3.68 Mg/m³.

---

R:
Compound: LiTe2HI
Source: Alexandria via LeMat-Bulk
Functional: PBE
Structure: relaxed

The structure in POSCAR format:
```
LiTe2HI
1.0
4.4083 0.0000 0.0000
0.0000 4.3742 0.0000
-0.2364 0.0000 8.0605
Li Te H I
1 2 1 1
Direct
0.0000 0.0000 0.0000 Li
0.0724 0.0000 0.3667 Te
0.5731 0.5000 0.3772 Te
0.5832 0.5000 0.5902 H
0.6108 0.5000 0.9212 I
```

Results
Its density of states at the Fermi level is 0.893 states/eV/cell. The value obtained for the density is 4.17 Mg/m³.

---

S:
Compound: LiTe2HI
Source: Alexandria via LeMat-Bulk
Functional: PBE
Structure: relaxed

The structure in POSCAR format:
```
LiTe2HI
1.0
3.9491 -2.4659 0.0000
3.9491 2.4659 0.0000
-3.2024 0.0000 8.0786
Li Te H I
1 2 1 1
Direct
0.0000 0.0000 0.0000 Li
0.0343 0.0343 0.6743 Te
0.4000 0.4000 0.5071 Te
0.5611 0.5611 0.4197 H
0.6921 0.6921 0.0827 I
```

Results
Its density of states at the Fermi level is 0.847 states/eV/cell. The value obtained for the density is 4.12 Mg/m³.

---

Which of them is most stable, and which least? Most stable: R; least stable: Q.

---

P:
Compound: LiTe2HI
Source: Alexandria via LeMat-Bulk
Functional: PBE
Structure: relaxed

The structure in POSCAR format:
```
LiTe2HI
1.0
3.7170 0.0000 0.0000
-1.8483 4.3188 0.0000
-0.0395 -0.4648 8.7559
Li Te H I
1 2 1 1
Direct
0.0000 0.0000 0.0000 Li
0.3331 0.6590 0.2021 Te
0.4668 0.9267 0.4934 Te
0.6425 0.2905 0.4297 H
0.6871 0.3784 0.8482 I
```

Results
Its density of states at the Fermi level is 2.072 states/eV/cell. The value obtained for the density is 4.61 Mg/m³.

---

Q:
Compound: LiTe2HI
Source: Alexandria via LeMat-Bulk
Functional: PBE
Structure: relaxed

The structure in POSCAR format:
```
LiTe2HI
1.0
5.1136 0.0000 0.0000
0.0000 5.1136 0.0000
0.0000 0.0000 5.6824
Li Te H I
1 2 1 1
Direct
0.0000 0.0000 0.0000 Li
0.0000 0.5000 0.0000 Te
0.5000 0.0000 0.0000 Te
0.5000 0.5000 0.5000 H
0.0000 0.0000 0.5000 I
```

Results
Its density of states at the Fermi level is 5.625 states/eV/cell. The value obtained for the density is 4.36 Mg/m³.

---

Which of them is most stable, and which least? Most stable: P; least stable: Q.

---

P:
Compound: LiTe2HI
Source: Alexandria via LeMat-Bulk
Functional: PBE
Structure: relaxed

The structure in POSCAR format:
```
LiTe2HI
1.0
4.3420 0.0000 0.0000
0.0000 4.3420 0.0000
0.0000 0.0000 8.6013
Li Te H I
1 2 1 1
Direct
0.0000 0.0000 0.0000 Li
0.0000 0.5000 0.5000 Te
0.5000 0.0000 0.5000 Te
0.5000 0.5000 0.5000 H
0.5000 0.5000 0.0000 I
```

Results
Its density of states at the Fermi level is 1.714 states/eV/cell. The value obtained for the density is 3.99 Mg/m³.

---

Q:
Compound: LiTe2HI
Source: Alexandria via LeMat-Bulk
Functional: PBE
Structure: relaxed

The structure in POSCAR format:
```
LiTe2HI
1.0
6.4413 -2.4654 0.0000
6.4413 2.4654 0.0000
-0.1666 0.0000 5.0130
Li Te H I
1 2 1 1
Direct
0.0000 0.0000 0.0000 Li
0.2744 0.2744 0.3672 Te
0.8822 0.8822 0.4744 Te
0.3183 0.3183 0.0538 H
0.5826 0.5826 0.9021 I
```

Results
Its density of states at the Fermi level is 0.648 states/eV/cell. The value obtained for the density is 4.07 Mg/m³.

---

Which of them is most stable, and which least? Most stable: Q; least stable: P.

---

P:
Compound: LiTe2HI
Source: Alexandria via LeMat-Bulk
Functional: PBE
Structure: relaxed

The structure in POSCAR format:
```
LiTe2HI
1.0
4.0849 -2.4571 0.0000
4.0849 2.4571 0.0000
-2.7363 0.0000 8.1622
Li Te H I
1 2 1 1
Direct
0.0000 0.0000 0.0000 Li
0.5406 0.5406 0.5082 Te
0.9494 0.9494 0.3322 Te
0.7292 0.7292 0.4514 H
0.3124 0.3124 0.9304 I
```

Results
Its density of states at the Fermi level is 1.127 states/eV/cell. The value obtained for the density is 3.95 Mg/m³.

---

Q:
Compound: LiTe2HI
Source: Alexandria via LeMat-Bulk
Functional: PBE
Structure: relaxed

The structure in POSCAR format:
```
LiTe2HI
1.0
9.1665 -1.5563 0.0000
9.1665 1.5563 0.0000
-2.6467 0.0000 6.5037
Li Te H I
1 2 1 1
Direct
0.0000 0.0000 0.0000 Li
0.6173 0.6173 0.8857 Te
0.6211 0.6211 0.3389 Te
0.6002 0.6002 0.5919 H
0.3594 0.3594 0.8734 I
```

Results
Its density of states at the Fermi level is 1.584 states/eV/cell. The value obtained for the density is 3.49 Mg/m³.

---

Which of them is most stable, and which least? Most stable: P; least stable: Q.

---

P:
Compound: LiTe2HI
Source: Alexandria via LeMat-Bulk
Functional: PBE
Structure: relaxed

The structure in POSCAR format:
```
LiTe2HI
1.0
5.0497 0.0000 0.0000
2.2935 5.3966 0.0000
2.5033 1.4093 5.7389
Li Te H I
1 2 1 1
Direct
0.0000 0.0000 0.0000 Li
0.1120 0.2639 0.5133 Te
0.6281 0.7785 0.4518 Te
0.3421 0.4216 0.4957 H
0.6233 0.7653 0.9586 I
```

Results
Its density of states at the Fermi level is 0.802 states/eV/cell. The value obtained for the density is 4.14 Mg/m³.

---

Q:
Compound: LiTe2HI
Source: Alexandria via LeMat-Bulk
Functional: PBE
Structure: relaxed

The structure in POSCAR format:
```
LiTe2HI
1.0
3.5203 0.0000 0.0000
0.0009 5.9460 0.0000
0.0369 2.4995 8.3574
Li Te H I
1 2 1 1
Direct
0.0000 0.0000 0.0000 Li
0.0108 0.9771 0.3185 Te
0.5034 0.2975 0.7606 Te
0.0101 0.6825 0.3837 H
0.5024 0.7672 0.8260 I
```

Results
Its density of states at the Fermi level is 0.406 states/eV/cell. The value obtained for the density is 3.70 Mg/m³.

---

Which of them is most stable, and which least? Most stable: P; least stable: Q.

---

P:
Compound: LiTeHI2
Source: Alexandria via LeMat-Bulk
Functional: PBE
Structure: relaxed

The structure in POSCAR format:
```
LiTeHI2
1.0
5.8613 0.0000 0.0000
0.0000 5.8613 0.0000
0.0000 0.0000 3.9252
Li Te H I
1 1 1 2
Direct
0.0000 0.0000 0.0000 Li
0.5000 0.5000 0.0000 Te
0.5000 0.5000 0.5000 H
0.0000 0.5000 0.5000 I
0.5000 0.0000 0.5000 I
```

Results
Its density of states at the Fermi level is 3.214 states/eV/cell. The value obtained for the density is 4.79 Mg/m³.

---

Q:
Compound: LiTeHI2
Source: Alexandria via LeMat-Bulk
Functional: PBE
Structure: relaxed

The structure in POSCAR format:
```
LiTeHI2
1.0
5.5943 0.0000 0.0000
0.0000 5.5943 0.0000
0.0000 0.0000 5.1023
Li Te H I
1 1 1 2
Direct
0.0000 0.0000 0.0000 Li
0.0000 0.0000 0.5000 Te
0.5000 0.5000 0.5000 H
0.0000 0.5000 0.0000 I
0.5000 0.0000 0.0000 I
```

Results
Its density of states at the Fermi level is 5.441 states/eV/cell. The value obtained for the density is 4.05 Mg/m³.

---

Which of them is most stable, and which least? Most stable: P; least stable: Q.